# 1
This record from Alexandria describes a relaxed TaIF crystal. The functional is PBE.

Unit cell a=3.6809 b=6.0030 c=8.0556 alpha=70.75 beta=80.84 gamma=79.53
Closest atoms and distances in Å follow each position.
Positions (direct):
Ta: 0.2310 0.1679 0.4918  2 F 2.10-2.14
Ta: 0.7690 0.8321 0.5082  2 F 2.10-2.14
I: 0.0655 0.6230 0.2368  2 Ta 2.85
I: 0.9345 0.3770 0.7632  2 Ta 2.85
F: 0.3819 0.8775 0.7201  2 Ta 2.10-2.14
F: 0.6181 0.1225 0.2799  2 Ta 2.10-2.14

Values from the calculation:
Its formation energy (no corrections) is -92.6 kJ/mol of atoms. Its density of states at the Fermi level is 0.243 states/eV/atom. The uncorrected energy is -6.0507 eV/atom.


# 2
This record from Alexandria describes a relaxed Sm2YV crystal. The functional is PBE.

Unit cell a=7.6893 b=7.6893 c=7.6893 alpha=90.00 beta=90.00 gamma=90.00
Closest atoms and distances in Å follow each position.
Positions (direct):
Sm: 0.2500 0.2500 0.2500  4 Y 3.33, 4 V 3.33
Sm: 0.2500 0.2500 0.7500  4 Y 3.33, 4 V 3.33
Sm: 0.2500 0.7500 0.2500  4 Y 3.33, 4 V 3.33
Sm: 0.2500 0.7500 0.7500  4 Y 3.33, 4 V 3.33
Sm: 0.7500 0.2500 0.2500  4 Y 3.33, 4 V 3.33
Sm: 0.7500 0.2500 0.7500  4 Y 3.33, 4 V 3.33
Sm: 0.7500 0.7500 0.2500  4 Y 3.33, 4 V 3.33
Sm: 0.7500 0.7500 0.7500  4 Y 3.33, 4 V 3.33
Y: 0.0000 0.0000 0.0000  8 Sm 3.33
Y: 0.0000 0.5000 0.5000  8 Sm 3.33
Y: 0.5000 0.0000 0.5000  8 Sm 3.33
Y: 0.5000 0.5000 0.0000  8 Sm 3.33
V: 0.0000 0.0000 0.5000  8 Sm 3.33
V: 0.0000 0.5000 0.0000  8 Sm 3.33
V: 0.5000 0.0000 0.0000  8 Sm 3.33
V: 0.5000 0.5000 0.5000  8 Sm 3.33

Values from the calculation:
Its density of states at the Fermi level is 1.210 states/eV/atom. The uncorrected energy is -5.9121 eV/atom. The formation energy from the elements is 0.343 eV per atom.


# 3
This record from Alexandria describes a relaxed V6ZnRh12 crystal. The functional is PBE.

Unit cell a=7.1510 b=7.1510 c=7.1510 alpha=110.95 beta=110.95 gamma=110.95
Closest atoms and distances in Å follow each position.
Positions (direct):
V: 0.0753 0.3678 0.5870  9 Rh 2.52-2.79, 2 V 2.75
V: 0.3678 0.5870 0.0753  9 Rh 2.52-2.79, 2 V 2.75
V: 0.4130 0.9247 0.6322  9 Rh 2.52-2.79, 2 V 2.75
V: 0.5870 0.0753 0.3678  9 Rh 2.52-2.79, 2 V 2.75
V: 0.6322 0.4130 0.9247  9 Rh 2.52-2.79, 2 V 2.75
V: 0.9247 0.6322 0.4130  9 Rh 2.52-2.79, 2 V 2.75
Zn: 0.0000 0.0000 0.0000  12 Rh 2.77
Rh: 0.1073 0.7331 0.1680  5 V 2.60-2.79, 6 Rh 2.63-2.83, 1 Zn 2.77
Rh: 0.1680 0.1073 0.7331  5 V 2.60-2.79, 6 Rh 2.63-2.83, 1 Zn 2.77
Rh: 0.2063 0.4812 0.3304  4 V 2.52-2.74, 6 Rh 2.63-2.81, 1 Zn 2.77
Rh: 0.2669 0.8320 0.8927  5 V 2.60-2.79, 6 Rh 2.63-2.83, 1 Zn 2.77
Rh: 0.3304 0.2063 0.4812  4 V 2.52-2.74, 6 Rh 2.63-2.81, 1 Zn 2.77
Rh: 0.4812 0.3304 0.2063  4 V 2.52-2.74, 6 Rh 2.63-2.81, 1 Zn 2.77
Rh: 0.5188 0.6696 0.7937  4 V 2.52-2.74, 6 Rh 2.63-2.81, 1 Zn 2.77
Rh: 0.6696 0.7937 0.5188  4 V 2.52-2.74, 6 Rh 2.63-2.81, 1 Zn 2.77
Rh: 0.7331 0.1680 0.1073  5 V 2.60-2.79, 6 Rh 2.63-2.83, 1 Zn 2.77
Rh: 0.7937 0.5188 0.6696  4 V 2.52-2.74, 6 Rh 2.63-2.81, 1 Zn 2.77
Rh: 0.8320 0.8927 0.2669  5 V 2.60-2.79, 6 Rh 2.63-2.83, 1 Zn 2.77
Rh: 0.8927 0.2669 0.8320  5 V 2.60-2.79, 6 Rh 2.63-2.83, 1 Zn 2.77

Values from the calculation:
Its density of states at the Fermi level is 0.887 states/eV/atom. The uncorrected energy is -7.9221 eV/atom. The formation energy from the elements is -0.332 eV per atom.


# 4
This record from Alexandria describes a relaxed LiS2Br crystal. The functional is PBE.

Unit cell a=3.5062 b=3.5062 c=23.4388 alpha=90.00 beta=90.00 gamma=120.00
Closest atoms and distances in Å follow each position.
Positions (direct):
Li: 0.0000 0.0000 0.0000  6 S 2.54
Li: 0.3333 0.6667 0.6667  6 S 2.54
Li: 0.6667 0.3333 0.3333  6 S 2.54
S: 0.0000 0.0000 0.3988  1 Br 2.37, 3 Li 2.54
S: 0.0000 0.0000 0.6012  1 Br 2.37, 3 Li 2.54
S: 0.3333 0.6667 0.0655  1 Br 2.37, 3 Li 2.54
S: 0.3333 0.6667 0.2679  1 Br 2.37, 3 Li 2.54
S: 0.6667 0.3333 0.7321  1 Br 2.37, 3 Li 2.54
S: 0.6667 0.3333 0.9345  1 Br 2.37, 3 Li 2.54
Br: 0.0000 0.0000 0.5000  2 S 2.37
Br: 0.3333 0.6667 0.1667  2 S 2.37
Br: 0.6667 0.3333 0.8333  2 S 2.37

Values from the calculation:
Its formation energy (no corrections) is 0.9 kJ/mol of atoms. Its density of states at the Fermi level is 0.737 states/eV/atom. The uncorrected energy is -2.9509 eV/atom. As for the energy above the most stable polymorph in this dataset: 0.0 meV per atom.


# 5
This record from Alexandria describes a relaxed Zr2HgCl crystal. The functional is PBE.

Unit cell a=3.2521 b=4.8987 c=5.6159 alpha=90.00 beta=90.00 gamma=90.00
Closest atoms and distances in Å follow each position.
Positions (direct):
Zr: 0.0000 0.0000 0.0000  4 Cl 2.94, 6 Zr 3.24-3.25
Zr: 0.5000 0.0000 0.5000  4 Hg 2.94, 6 Zr 3.24-3.25
Hg: 0.0000 0.5000 0.5000  4 Zr 2.94, 4 Cl 3.24, 2 Hg 3.25
Cl: 0.5000 0.5000 0.0000  4 Zr 2.94, 4 Hg 3.24, 2 Cl 3.25

Values from the calculation:
Its formation energy (no corrections) is -12.3 kJ/mol of atoms. Its density of states at the Fermi level is 1.144 states/eV/atom. The uncorrected energy is -4.9390 eV/atom. As for the energy above the most stable polymorph in this dataset: 416.0 meV per atom.


# 6
This record from Alexandria describes a relaxed CrCd2Re crystal. The functional is PBE.

Unit cell a=2.9015 b=2.9015 c=28.9599 alpha=90.00 beta=90.00 gamma=120.00
Closest atoms and distances in Å follow each position.
Positions (direct):
Cr: 0.0000 0.0000 0.0000  3 Re 2.45
Cr: 0.3333 0.6667 0.6667  3 Re 2.45
Cr: 0.6667 0.3333 0.3333  3 Re 2.45
Cd: 0.0000 0.0000 0.5168  6 Cd 2.90, 3 Re 3.06
Cd: 0.0000 0.0000 0.7504  6 Cd 2.90, 3 Cr 2.95
Cd: 0.3333 0.6667 0.1835  6 Cd 2.90, 3 Re 3.06
Cd: 0.3333 0.6667 0.4171  6 Cd 2.90, 3 Cr 2.95
Cd: 0.6667 0.3333 0.0837  6 Cd 2.90, 3 Cr 2.95
Cd: 0.6667 0.3333 0.8501  6 Cd 2.90, 3 Re 3.06
Re: 0.0000 0.0000 0.2717  3 Cr 2.45
Re: 0.3333 0.6667 0.9384  3 Cr 2.45
Re: 0.6667 0.3333 0.6051  3 Cr 2.45

Values from the calculation:
Its density of states at the Fermi level is 0.700 states/eV/atom. The uncorrected energy is -5.6353 eV/atom. As for the energy above the most stable polymorph in this dataset: 47.3 meV per atom. The formation energy from the elements is 0.340 eV per atom.


# 7
This record from Alexandria describes a relaxed La2Cr crystal. The functional is PBE.

Unit cell a=7.2143 b=7.2143 c=7.2143 alpha=90.00 beta=90.00 gamma=90.00
Closest atoms and distances in Å follow each position.
Positions (direct):
La: 0.1698 0.1698 0.1698  3 Cr 2.95
La: 0.1698 0.3302 0.6698  3 Cr 2.95
La: 0.3302 0.6698 0.1698  3 Cr 2.95
La: 0.3302 0.8302 0.6698  3 Cr 2.95
La: 0.6698 0.1698 0.3302  3 Cr 2.95
La: 0.6698 0.3302 0.8302  3 Cr 2.95
La: 0.8302 0.6698 0.3302  3 Cr 2.95
La: 0.8302 0.8302 0.8302  3 Cr 2.95
Cr: 0.0000 0.0000 0.5000  6 La 2.95
Cr: 0.0000 0.5000 0.0000  6 La 2.95
Cr: 0.5000 0.0000 0.0000  6 La 2.95
Cr: 0.5000 0.5000 0.5000  6 La 2.95

Values from the calculation:
Its density of states at the Fermi level is 0.995 states/eV/atom. The uncorrected energy is -6.0414 eV/atom. The formation energy from the elements is 0.451 eV per atom.


# 8
This record from Alexandria describes a relaxed CaMgH crystal. The functional is PBE.

Unit cell a=3.6557 b=3.8307 c=8.5110 alpha=90.00 beta=90.00 gamma=90.00
Closest atoms and distances in Å follow each position.
Positions (direct):
Ca: 0.0000 0.0000 0.0000  2 H 2.26
Ca: 0.5000 0.5000 0.3054  2 H 2.30
Mg: 0.0000 0.0000 0.5637  1 H 2.05
Mg: 0.5000 0.5000 0.7386  4 Mg 3.04
H: 0.0000 0.0000 0.3223  1 Mg 2.05
H: 0.0000 0.5000 0.1412  4 Ca 2.26-2.30, 2 H 2.46

Values from the calculation:
Its density of states at the Fermi level is 0.272 states/eV/atom. The uncorrected energy is -2.5259 eV/atom. As for the energy above the most stable polymorph in this dataset: 88.6 meV per atom.


# 9
This record from Alexandria describes a relaxed HfTiAl2 crystal. The functional is PBE.

Unit cell a=7.3838 b=7.3838 c=5.5554 alpha=90.00 beta=90.00 gamma=90.00
Closest atoms and distances in Å follow each position.
Positions (direct):
Hf: 0.0000 0.0000 0.0000  4 Al 2.77, 2 Ti 2.78
Hf: 0.0000 0.5000 0.2500  4 Al 2.77, 2 Ti 2.78
Hf: 0.5000 0.0000 0.7500  4 Al 2.77, 2 Ti 2.78
Hf: 0.5000 0.5000 0.5000  4 Al 2.77, 2 Ti 2.78
Ti: 0.0000 0.0000 0.5000  4 Al 2.63, 2 Hf 2.78
Ti: 0.0000 0.5000 0.7500  4 Al 2.63, 2 Hf 2.78
Ti: 0.5000 0.0000 0.2500  4 Al 2.63, 2 Hf 2.78
Ti: 0.5000 0.5000 0.0000  4 Al 2.63, 2 Hf 2.78
Al: 0.2358 0.2500 0.6250  2 Ti 2.63, 2 Hf 2.77, 2 Al 2.79
Al: 0.2500 0.7358 0.8750  2 Ti 2.63, 2 Hf 2.77, 2 Al 2.79
Al: 0.2500 0.7642 0.3750  2 Ti 2.63, 2 Hf 2.77, 2 Al 2.79
Al: 0.2642 0.2500 0.1250  2 Ti 2.63, 2 Hf 2.77, 2 Al 2.79
Al: 0.7358 0.7500 0.1250  2 Ti 2.63, 2 Hf 2.77, 2 Al 2.79
Al: 0.7500 0.2358 0.3750  2 Ti 2.63, 2 Hf 2.77, 2 Al 2.79
Al: 0.7500 0.2642 0.8750  2 Ti 2.63, 2 Hf 2.77, 2 Al 2.79
Al: 0.7642 0.7500 0.6250  2 Ti 2.63, 2 Hf 2.77, 2 Al 2.79

Values from the calculation:
Its density of states at the Fermi level is 0.817 states/eV/atom. The uncorrected energy is -6.2328 eV/atom. As for the energy above the most stable polymorph in this dataset: 478.2 meV per atom. The formation energy from the elements is 0.101 eV per atom.


# 10
This record from Alexandria describes a relaxed K2CuPbBr6 crystal. The functional is PBE.

Unit cell a=7.6109 b=7.8726 c=13.1967 alpha=90.00 beta=125.22 gamma=90.00
Closest atoms and distances in Å follow each position.
Positions (direct):
K: 0.2282 0.0672 0.2484  8 Br 3.39-3.77
K: 0.2282 0.4328 0.7484  8 Br 3.39-3.77
K: 0.7718 0.5672 0.2516  8 Br 3.39-3.77
K: 0.7718 0.9328 0.7516  8 Br 3.39-3.77
Cu: 0.0000 0.0000 0.5000  6 Br 2.58-2.68
Cu: 0.0000 0.5000 0.0000  6 Br 2.58-2.68
Pb: 0.5000 0.0000 0.0000  6 Br 2.97-2.98
Pb: 0.5000 0.5000 0.5000  6 Br 2.97-2.98
Br: 0.1444 0.2186 0.9558  1 Cu 2.68, 1 Pb 2.97
Br: 0.1444 0.2814 0.4558  1 Cu 2.68, 1 Pb 2.97
Br: 0.2407 0.6907 0.9590  1 Cu 2.65
Br: 0.2407 0.8093 0.4590  1 Cu 2.65
Br: 0.3153 0.0149 0.7312  1 Cu 2.58
Br: 0.3153 0.4851 0.2312  1 Cu 2.58
Br: 0.6847 0.5149 0.7688  1 Cu 2.58
Br: 0.6847 0.9851 0.2688  1 Cu 2.58
Br: 0.7593 0.1907 0.5410  1 Cu 2.65
Br: 0.7593 0.3093 0.0410  1 Cu 2.65
Br: 0.8556 0.7186 0.5442  1 Cu 2.68, 1 Pb 2.97
Br: 0.8556 0.7814 0.0442  1 Cu 2.68, 1 Pb 2.97

Values from the calculation:
Its formation energy (no corrections) is -99.3 kJ/mol of atoms. Its density of states at the Fermi level is 0.435 states/eV/atom. The uncorrected energy is -3.0325 eV/atom.


# 11
This record from Alexandria describes a relaxed CrHIr crystal. The functional is PBE.

Unit cell a=2.7265 b=2.7265 c=13.3607 alpha=90.00 beta=90.00 gamma=120.00
Closest atoms and distances in Å follow each position.
Positions (direct):
Cr: 0.0000 0.0000 0.0000  3 H 1.79
Cr: 0.3333 0.6667 0.6667  3 H 1.79
Cr: 0.6667 0.3333 0.3333  3 H 1.79
H: 0.0000 0.0000 0.2696  3 Cr 1.79
H: 0.3333 0.6667 0.9362  3 Cr 1.79
H: 0.6667 0.3333 0.6029  3 Cr 1.79
Ir: 0.0000 0.0000 0.4867  3 H 2.21
Ir: 0.3333 0.6667 0.1534  3 H 2.21
Ir: 0.6667 0.3333 0.8201  3 H 2.21

Values from the calculation:
Its density of states at the Fermi level is 0.724 states/eV/atom. The uncorrected energy is -7.2703 eV/atom. As for the energy above the most stable polymorph in this dataset: 73.2 meV per atom.


# 12
This record from Alexandria describes a relaxed TcSb4Mo2 crystal. The functional is PBE.

Unit cell a=6.6471 b=6.6471 c=8.6650 alpha=102.45 beta=102.45 gamma=115.89
Closest atoms and distances in Å follow each position.
Positions (direct):
Tc: 0.1247 0.8753 0.5000  2 Mo 2.67, 6 Sb 2.72-2.80
Tc: 0.8753 0.1247 0.0000  2 Mo 2.67, 6 Sb 2.72-2.80
Sb: 0.3478 0.3710 0.1946  1 Tc 2.72, 3 Mo 2.78-2.83
Sb: 0.3710 0.3478 0.6946  1 Tc 2.72, 3 Mo 2.78-2.83
Sb: 0.3879 0.8878 0.8051  3 Mo 2.72-2.76, 2 Tc 2.80
Sb: 0.4034 0.9259 0.3051  1 Tc 2.73, 3 Mo 2.78-2.83
Sb: 0.8324 0.8320 0.1949  3 Mo 2.72-2.76, 2 Tc 2.80
Sb: 0.8320 0.8324 0.6949  3 Mo 2.72-2.76, 2 Tc 2.80
Sb: 0.8878 0.3879 0.3051  3 Mo 2.72-2.76, 2 Tc 2.80
Sb: 0.9259 0.4034 0.8051  1 Tc 2.73, 3 Mo 2.78-2.83
Mo: 0.1115 0.8874 0.0011  1 Tc 2.67, 6 Sb 2.72-2.83
Mo: 0.3604 0.6362 0.4989  1 Tc 2.67, 6 Sb 2.72-2.83
Mo: 0.6362 0.3604 0.9989  1 Tc 2.67, 6 Sb 2.72-2.83
Mo: 0.8874 0.1115 0.5011  1 Tc 2.67, 6 Sb 2.72-2.83

Values from the calculation:
Its formation energy (no corrections) is 20.4 kJ/mol of atoms. Its density of states at the Fermi level is 0.690 states/eV/atom. The uncorrected energy is -6.7201 eV/atom.